Run i
# TiBe2Ir2

Crystalline TiBe2Ir2 at its relaxed geometry (GGA-PBE, the Alexandria database).

Unit cell a=6.575 b=6.575 c=2.794 alpha=90.00 beta=90.00 gamma=90.00
Fractional coordinates of all 10 atoms:
Ir  0.324  0.176  0.500
Ti  0.500  0.500  0.000
Ti  0.000  0.000  0.000
Ir  0.176  0.676  0.500
Be  0.618  0.118  0.000
Be  0.382  0.882  0.000
Be  0.882  0.618  0.000
Ir  0.824  0.324  0.500
Be  0.118  0.382  0.000
Ir  0.676  0.824  0.500

## Properties
Symmetry: P4/mbm, No. 127

---

Run ii
# TiBe2Ir2

Crystalline TiBe2Ir2 at its relaxed geometry (GGA-PBE, the Alexandria database).

Unit cell a=6.709 b=6.709 c=2.804 alpha=90.00 beta=90.00 gamma=90.00
Fractional coordinates of all 10 atoms:
Ti  0.500  0.500  0.000
Ir  0.351  0.851  0.000
Ir  0.851  0.649  0.000
Ir  0.649  0.149  0.000
Be  0.647  0.853  0.500
Ti  0.000  0.000  0.000
Be  0.147  0.647  0.500
Be  0.853  0.353  0.500
Ir  0.149  0.351  0.000
Be  0.353  0.147  0.500

## Properties
Symmetry: P4/mbm, No. 127

---

Most stable: run i

---

Run i
# Be2TlIr

Crystalline Be2TlIr at its relaxed geometry (GGA-PBE, the Alexandria database).

Unit cell a=4.846 b=4.846 c=4.846 alpha=135.53 beta=135.53 gamma=64.71
Fractional coordinates of all 4 atoms:
Be  0.250  0.750  0.500
Ir  0.500  0.500  0.000
Tl  0.750  0.250  0.500
Be  0.000  0.000  0.000

## Properties
Symmetry: I-4m2, No. 119

---

Run ii
# Be2TlIr

Crystalline Be2TlIr at its relaxed geometry (GGA-PBE, the Alexandria database).

Unit cell a=4.231 b=4.231 c=4.231 alpha=60.00 beta=60.00 gamma=60.00
Fractional coordinates of all 4 atoms:
Be  0.250  0.250  0.250
Tl  0.500  0.500  0.500
Be  0.750  0.750  0.750
Ir  0.000  0.000  0.000

## Properties
Symmetry: Fm-3m, No. 225

---

Most stable: run i

---

Run i
# Be2TlIr

Crystalline Be2TlIr at its relaxed geometry (GGA-PBE, the Alexandria database).

Unit cell a=3.883 b=3.883 c=5.270 alpha=68.60 beta=68.60 gamma=59.90
Fractional coordinates of all 4 atoms:
Be  0.935  0.935  0.196
Ir  0.559  0.559  0.326
Tl  0.751  0.751  0.740
Be  0.255  0.255  0.238

## Properties
Symmetry: Cm, No. 8

---

Run ii
# Be2TlIr

Crystalline Be2TlIr at its relaxed geometry (GGA-PBE, the Alexandria database).

Unit cell a=4.214 b=4.214 c=4.622 alpha=82.21 beta=82.21 gamma=51.43
Fractional coordinates of all 4 atoms:
Be  0.558  0.558  0.295
Tl  0.750  0.750  0.750
Be  0.942  0.942  0.205
Ir  0.250  0.250  0.250

## Properties
Symmetry: C2/m, No. 12

---

Most stable: run i

---

Run i
# BeTl2Ir

Crystalline BeTl2Ir at its relaxed geometry (GGA-PBE, the Alexandria database).

Unit cell a=4.664 b=4.664 c=3.497 alpha=90.00 beta=90.00 gamma=102.68
Fractional coordinates of all 4 atoms:
Tl  0.500  0.500  0.000
Ir  0.000  0.500  0.500
Tl  0.000  0.000  0.000
Be  0.500  0.000  0.500

## Properties
Symmetry: Cmmm, No. 65

---

Run ii
# BeTl2Ir

Crystalline BeTl2Ir at its relaxed geometry (GGA-PBE, the Alexandria database).

Unit cell a=3.610 b=3.619 c=5.656 alpha=90.00 beta=90.00 gamma=90.00
Fractional coordinates of all 4 atoms:
Ir  0.500  0.500  0.750
Be  0.500  0.500  0.250
Tl  0.000  0.000  0.498
Tl  0.000  0.000  0.002

## Properties
Symmetry: P4/mmm, No. 123

---

Most stable: run ii

---

Run i
# BeTl2Ir2

Crystalline BeTl2Ir2 at its relaxed geometry (GGA-PBE, the Alexandria database).

Unit cell a=7.762 b=7.762 c=3.125 alpha=90.00 beta=90.00 gamma=90.00
Fractional coordinates of all 10 atoms:
Tl  0.159  0.341  0.000
Tl  0.841  0.659  0.000
Tl  0.659  0.159  0.000
Ir  0.859  0.359  0.500
Tl  0.341  0.841  0.000
Ir  0.141  0.641  0.500
Ir  0.359  0.141  0.500
Be  0.000  0.000  0.000
Be  0.500  0.500  0.000
Ir  0.641  0.859  0.500

## Properties
Symmetry: P4/mbm, No. 127

---

Run ii
# BeTl2Ir2

Crystalline BeTl2Ir2 at its relaxed geometry (GGA-PBE, the Alexandria database).

Unit cell a=3.580 b=3.580 c=8.746 alpha=78.19 beta=78.19 gamma=90.00
Fractional coordinates of all 5 atoms:
Ir  0.750  0.250  0.500
Tl  0.604  0.604  0.793
Be  0.000  0.000  0.000
Ir  0.250  0.750  0.500
Tl  0.396  0.396  0.207

## Properties
Symmetry: I4/mmm, No. 139

---

Most stable: run ii

---

Run i
# Be3VIr

Crystalline Be3VIr at its relaxed geometry (GGA-PBE, the Alexandria database).

Unit cell a=3.942 b=3.942 c=3.942 alpha=90.00 beta=90.00 gamma=90.00
Fractional coordinates of all 5 atoms:
Be  0.000  0.500  0.000
Ir  0.500  0.500  0.500
V  0.000  0.000  0.000
Be  0.000  0.000  0.500
Be  0.500  0.000  0.000

## Properties
Symmetry: Pm-3m, No. 221

---

Run ii
# Be3VIr

Crystalline Be3VIr at its relaxed geometry (GGA-PBE, the Alexandria database).

Unit cell a=4.150 b=4.150 c=4.150 alpha=90.00 beta=90.00 gamma=90.00
Last column: magnetic moment on the atom in μB.
Fractional coordinates of all 5 atoms:
Ir  0.000  0.000  0.000  -0.01
Be  0.000  0.500  0.000  -0.03
V  0.500  0.500  0.500  2.44
Be  0.000  0.000  0.500  -0.03
Be  0.500  0.000  0.000  -0.03

## Properties
Symmetry: Pm-3m, No. 221

---

Most stable: run ii